Here is a relaxed LaTiSeN2 crystal from Alexandria via LeMat-Bulk. Energies are from PBEsol.

Results
Energy relative to the elements, uncorrected   0.57 eV per atom
Symmetry   P4/mmm

a = 4.100 Å, b = 4.100 Å, c = 6.002 Å
α = 90.00°, β = 90.00°, γ = 90.00°
Atoms (fractional coordinates):
N1 0.500 0.000 0.000
Se1 0.000 0.000 0.500
La1 0.000 0.000 0.000
Ti1 0.500 0.500 0.500
N2 0.000 0.500 0.000

Here is a relaxed In3SiTc crystal from Alexandria via LeMat-Bulk. Energies are from PBEsol.

Results
Energy relative to the elements, uncorrected   0.85 eV per atom
Symmetry   Pm-3m

a = 5.092 Å, b = 5.092 Å, c = 5.092 Å
α = 90.00°, β = 90.00°, γ = 90.00°
Atoms (fractional coordinates):
Si1 0.500 0.500 0.500
In1 0.000 0.000 0.500
In2 0.500 0.000 0.000
In3 0.000 0.500 0.000
Tc1 0.000 0.000 0.000

Here is a relaxed Mg2FeRh crystal from Alexandria via LeMat-Bulk. Energies are from PBEsol.

Results
ΔE_f   -0.03 eV per atom
Symmetry   F-43m

a = 4.374 Å, b = 4.374 Å, c = 4.374 Å
α = 60.00°, β = 60.00°, γ = 60.00°
Atoms (fractional coordinates):
Rh1 0.750 0.750 0.750
Mg1 0.250 0.250 0.250
Mg2 0.000 0.000 0.000
Fe1 0.500 0.500 0.500

Here is a relaxed MnZnPO5 crystal from Alexandria via LeMat-Bulk. Energies are from PBEsol.

Results
Energy relative to the elements, uncorrected   -1.84 eV per atom
Symmetry   C2/c

a = 5.495 Å, b = 5.495 Å, c = 6.788 Å
α = 107.47°, β = 107.47°, γ = 99.47°
Atoms (fractional coordinates):
P1 0.867 0.133 0.250
Zn1 0.810 0.190 0.750
O1 0.254 0.779 0.573
Mn1 0.500 0.500 0.000
O2 0.416 0.584 0.250
P2 0.133 0.867 0.750
O3 0.196 0.178 0.855
Zn2 0.190 0.810 0.250
O4 0.746 0.221 0.427
O5 0.584 0.416 0.750
Mn2 0.500 0.500 0.500
O6 0.804 0.822 0.145
O7 0.221 0.746 0.927
O8 0.779 0.254 0.073
O9 0.178 0.196 0.355
O10 0.822 0.804 0.645

Here is a relaxed TlCd2Au crystal from Alexandria via LeMat-Bulk. Energies are from PBEsol.

Results
ΔE_f   0.03 eV per atom
Symmetry   Cmmm

a = 3.778 Å, b = 4.861 Å, c = 4.861 Å
α = 107.13°, β = 90.00°, γ = 90.00°
Atoms (fractional coordinates):
Cd1 0.000 0.500 0.000
Au1 0.500 0.500 0.500
Cd2 0.000 0.000 0.500
Tl1 0.500 0.000 0.000

Here is a relaxed Li2BPH crystal from Alexandria via LeMat-Bulk. Energies are from PBEsol.

Results
E_tot   -3.23 eV per atom
Symmetry   P4/mmm

a = 3.181 Å, b = 4.669 Å, c = 4.669 Å
α = 90.00°, β = 90.00°, γ = 90.00°
Atoms (fractional coordinates):
Li1 0.000 0.500 0.000
B1 0.500 0.500 0.500
P1 0.000 0.000 0.000
H1 0.500 0.000 0.000
Li2 0.000 0.000 0.500